Entry from Alexandria via LeMat-Bulk: Pm3Mg2Tl after structural relaxation (PBE).

Summary:
Its formation energy is -0.19 eV per atom. Its polymorph energy (0 for the lowest one) is 15 meV/atom. The space group is P4/mmm.

Unit cell a=3.866 b=3.866 c=11.654 alpha=90.00 beta=90.00 gamma=90.00
Fractional coordinates of all 6 atoms:
Tl 0.500 0.500 0.500
Mg 0.500 0.500 0.838
Pm 0.000 0.000 0.331
Pm 0.000 0.000 0.000
Mg 0.500 0.500 0.162
Pm 0.000 0.000 0.669